# 1
Ba8Sb3SBr4: relaxed, PBE.

The structure in POSCAR format:
```
Ba8Sb3SBr4
1.0
-6.538 6.714 2.963
0.341 -3.652 9.029
8.256 2.838 -4.515
S Sb Ba Br
1 3 8 4
Direct
0.000 0.500 0.000 S
0.000 0.500 0.500 Sb
0.500 0.500 0.000 Sb
0.500 0.500 0.500 Sb
0.762 0.273 0.011 Ba
0.745 0.736 0.491 Ba
0.238 0.727 0.477 Ba
0.238 0.727 0.989 Ba
0.751 0.727 0.989 Ba
0.762 0.273 0.523 Ba
0.249 0.273 0.011 Ba
0.255 0.264 0.509 Ba
0.000 0.000 0.000 Br
0.500 0.000 0.500 Br
0.500 0.000 0.000 Br
0.000 0.000 0.500 Br
```

Results
**VASP energy**: -64.111 eV/f.u.
**Spin magnetization**: 0.0 μB/f.u.



# 2
BaSeSBr2: relaxed, PBE.

The structure in POSCAR format:
```
BaSeSBr2
1.0
-4.109 2.235 -4.197
3.540 -2.265 -4.672
-3.410 -5.821 0.239
Br Ba Se S
2 1 1 1
Direct
0.500 0.000 0.000 Br
0.000 0.500 0.000 Br
0.000 0.000 0.000 Ba
0.000 0.000 0.500 Se
0.500 0.500 0.500 S
```

Results
**VASP energy**: -13.615 eV/f.u.
**Spin magnetization**: 4.0 μB/f.u.



# 3
Ba6Se2SBr3: relaxed, PBE.

The structure in POSCAR format:
```
Ba6Se2SBr3
1.0
8.076 0.002 0.001
-4.034 6.996 0.001
-1.347 -2.332 7.787
Ba Br Se S
6 3 2 1
Direct
0.599 0.925 0.776 Ba
0.251 0.251 0.774 Ba
0.749 0.749 0.226 Ba
0.925 0.599 0.776 Ba
0.075 0.401 0.224 Ba
0.401 0.075 0.224 Ba
0.170 0.830 0.500 Br
0.830 0.170 0.500 Br
0.500 0.500 0.500 Br
0.666 0.334 0.000 Se
0.334 0.666 0.000 Se
0.000 0.000 0.000 S
```

Results
**VASP energy**: -49.815 eV/f.u.
**Spin magnetization**: 0.0 μB/f.u.



# 4
Ba6Se3SBr2: relaxed, PBE.

The structure in POSCAR format:
```
Ba6Se3SBr2
1.0
8.137 0.008 0.002
-4.060 7.051 0.002
-1.358 -2.352 7.602
Ba S Se Br
6 1 3 2
Direct
0.914 0.596 0.741 Ba
0.770 0.770 0.258 Ba
0.230 0.230 0.742 Ba
0.086 0.404 0.259 Ba
0.404 0.086 0.259 Ba
0.596 0.914 0.741 Ba
0.000 0.000 0.000 S
0.171 0.829 0.500 Se
0.829 0.171 0.500 Se
0.500 0.500 0.500 Se
0.666 0.334 0.000 Br
0.334 0.666 0.000 Br
```

Results
**VASP energy**: -52.569 eV/f.u.
**Spin magnetization**: 0.0 μB/f.u.



# 5
BaSe2SBr: relaxed, PBE.

The structure in POSCAR format:
```
BaSe2SBr
1.0
-2.490 -3.860 4.695
-4.649 -2.060 -4.158
3.705 -4.636 -1.847
Se Ba Br S
2 1 1 1
Direct
0.000 0.500 0.000 Se
0.500 0.000 0.000 Se
0.000 0.000 0.000 Ba
0.000 0.000 0.500 Br
0.500 0.500 0.500 S
```

Results
**VASP energy**: -13.407 eV/f.u.
**Spin magnetization**: 5.0 μB/f.u.



# 6
BaSe2SBr: relaxed, PBE.

The structure in POSCAR format:
```
BaSe2SBr
1.0
-0.723 4.660 1.771
-4.936 -0.921 0.408
0.753 -1.802 5.048
Ba Br Se S
1 1 2 1
Direct
0.500 0.500 0.500 Ba
0.000 0.000 0.500 Br
0.500 0.000 0.000 Se
0.000 0.500 0.000 Se
0.000 0.000 0.000 S
```

Results
**VASP energy**: -18.352 eV/f.u.
**Spin magnetization**: 0.0 μB/f.u.



# 7
BaSeSBr2: relaxed, PBE.

The structure in POSCAR format:
```
BaSeSBr2
1.0
5.322 0.000 0.000
0.000 5.322 0.000
0.000 0.000 5.141
Ba S Br Se
1 1 2 1
Direct
0.500 0.500 0.500 Ba
0.000 0.000 0.000 S
0.500 0.000 0.000 Br
0.000 0.500 0.000 Br
0.000 0.000 0.500 Se
```

Results
**VASP energy**: -16.901 eV/f.u.
**Spin magnetization**: 0.0 μB/f.u.



# 8
Ba4Se2SBr: relaxed, PBE.

The structure in POSCAR format:
```
Ba4Se2SBr
1.0
-2.546 -3.850 0.731
6.619 -4.525 -0.786
3.506 -0.938 7.268
Se Br Ba S
2 1 4 1
Direct
0.000 0.000 0.000 Se
0.500 0.000 0.500 Se
0.500 0.500 0.000 Br
0.000 0.758 0.735 Ba
0.500 0.251 0.739 Ba
0.500 0.749 0.261 Ba
0.000 0.242 0.265 Ba
0.000 0.500 0.500 S
```

Results
**VASP energy**: -36.120 eV/f.u.
**Spin magnetization**: 0.0 μB/f.u.



# 9
Ba4SeSBr2: relaxed, PBE.

The structure in POSCAR format:
```
Ba4SeSBr2
1.0
-3.990 -1.611 -1.732
0.180 -6.084 5.245
-4.033 6.340 3.392
Br Ba Se S
2 4 1 1
Direct
0.500 0.000 0.500 Br
0.000 0.500 0.500 Br
0.500 0.767 0.780 Ba
0.000 0.749 0.225 Ba
0.500 0.233 0.220 Ba
0.000 0.251 0.775 Ba
0.500 0.500 0.000 Se
0.000 0.000 0.000 S
```

Results
**VASP energy**: -33.449 eV/f.u.
**Spin magnetization**: 0.0 μB/f.u.



# 10
Ba6Se3S2Br: relaxed, PBE.

The structure in POSCAR format:
```
Ba6Se3S2Br
1.0
4.661 0.000 0.000
0.000 9.334 0.368
-2.330 -2.653 9.783
Ba S Se Br
6 2 3 1
Direct
0.673 0.094 0.345 Ba
0.003 0.265 0.007 Ba
0.997 0.735 0.993 Ba
0.331 0.421 0.661 Ba
0.327 0.906 0.655 Ba
0.669 0.579 0.339 Ba
0.834 0.668 0.668 S
0.166 0.332 0.332 S
0.837 0.165 0.673 Se
0.500 0.500 0.000 Se
0.163 0.835 0.327 Se
0.500 0.000 0.000 Br
```

Results
**VASP energy**: -55.879 eV/f.u.
**Spin magnetization**: 0.0 μB/f.u.